Entry 1:
Computed, not measured: crystalline BaSc2W at its relaxed geometry at the PBE-GGA level of DFT. Values from VASP.

Energy above the most stable polymorph in this dataset (eV per atom): 0.326
Symmetry: Cmm2, No. 35
E (eV/cell): -24.6
Mass density (g/cm3): 6.7

```
&SYSTEM
  ibrav = 0, nat = 4, ntyp = 3
/
ATOMIC_SPECIES
Ba 137.33 Ba.upf
Sc 44.96 Sc.upf
W 183.84 W.upf
CELL_PARAMETERS angstrom
-0.999 0.275 -2.900
-2.682 -0.735 1.323
-2.047 10.540 1.704
ATOMIC_POSITIONS crystal
Ba 0.500 0.500 0.722
Sc 0.500 0.500 0.277
W 0.000 0.000 0.466
Sc 0.000 0.000 0.034
```

---

Entry 2:
Computed, not measured: crystalline BaSc2W2 at its relaxed geometry at the PBE-GGA level of DFT. Values from VASP.

Symmetry: I4/mmm, No. 139
E (eV/cell): -37.3
Mass density (g/cm3): 6.8

```
&SYSTEM
  ibrav = 0, nat = 5, ntyp = 3
/
ATOMIC_SPECIES
Sc 44.96 Sc.upf
Ba 137.33 Ba.upf
W 183.84 W.upf
CELL_PARAMETERS angstrom
1.700 -10.096 3.800
2.972 -6.993 7.843
-4.817 8.448 -4.967
ATOMIC_POSITIONS crystal
Sc 0.355 0.355 0.000
Ba 0.000 0.000 0.000
W 0.250 0.750 0.500
W 0.750 0.250 0.500
Sc 0.645 0.645 0.000
```

---

Entry 3:
Computed, not measured: crystalline BaSc2W at its relaxed geometry at the PBE-GGA level of DFT. Values from VASP.

Energy above the most stable polymorph in this dataset (eV per atom): 0.506
Symmetry: I-4m2, No. 119
E (eV/cell): -23.9
Mass density (g/cm3): 7.0

```
&SYSTEM
  ibrav = 0, nat = 4, ntyp = 3
/
ATOMIC_SPECIES
Sc 44.96 Sc.upf
W 183.84 W.upf
Ba 137.33 Ba.upf
CELL_PARAMETERS angstrom
-1.109 3.025 -4.612
-4.749 -1.914 -2.330
1.194 1.556 5.273
ATOMIC_POSITIONS crystal
Sc 0.000 0.000 0.000
W 0.500 0.500 0.000
Sc 0.250 0.750 0.500
Ba 0.750 0.250 0.500
```

---

Entry 4:
Computed, not measured: crystalline BaSc2W at its relaxed geometry at the PBE-GGA level of DFT. Values from VASP.

Energy above the most stable polymorph in this dataset (eV per atom): 0.707
Symmetry: I4_1/amd, No. 141
E (eV/cell): -46.2
Mass density (g/cm3): 4.1

```
&SYSTEM
  ibrav = 0, nat = 8, ntyp = 3
/
ATOMIC_SPECIES
W 183.84 W.upf
Ba 137.33 Ba.upf
Sc 44.96 Sc.upf
CELL_PARAMETERS angstrom
7.532 0.000 0.000
0.000 7.532 0.000
3.766 3.766 5.811
ATOMIC_POSITIONS crystal
W 0.000 0.000 0.000
W 0.750 0.250 0.500
Ba 0.250 0.750 0.500
Sc 0.375 0.125 0.750
Ba 0.500 0.500 0.000
Sc 0.875 0.625 0.250
Sc 0.875 0.125 0.250
Sc 0.875 0.125 0.750
```

---

Entry 5:
Computed, not measured: crystalline BaSc2W at its relaxed geometry at the PBE-GGA level of DFT. Values from VASP.

Energy above the most stable polymorph in this dataset (eV per atom): 0.191
Symmetry: R-3m, No. 166
E (eV/cell): -25.2
Mass density (g/cm3): 6.4

```
&SYSTEM
  ibrav = 0, nat = 4, ntyp = 3
/
ATOMIC_SPECIES
Ba 137.33 Ba.upf
Sc 44.96 Sc.upf
W 183.84 W.upf
CELL_PARAMETERS angstrom
10.766 -0.008 -0.004
10.231 3.352 -0.004
10.231 1.629 2.929
ATOMIC_POSITIONS crystal
Ba 0.750 0.750 0.750
Sc 0.521 0.521 0.521
W 0.250 0.250 0.250
Sc 0.979 0.979 0.979
```

---

Entry 6:
Computed, not measured: crystalline BaSc2W at its relaxed geometry at the PBE-GGA level of DFT. Values from VASP.

Energy above the most stable polymorph in this dataset (eV per atom): 0.563
Symmetry: R-3m, No. 166
E (eV/cell): -23.7
Mass density (g/cm3): 6.7

```
&SYSTEM
  ibrav = 0, nat = 4, ntyp = 3
/
ATOMIC_SPECIES
W 183.84 W.upf
Sc 44.96 Sc.upf
Ba 137.33 Ba.upf
CELL_PARAMETERS angstrom
1.828 0.000 11.704
-0.914 1.583 11.704
-0.914 -1.583 11.704
ATOMIC_POSITIONS crystal
W 0.000 0.000 0.000
Sc 0.925 0.925 0.925
Ba 0.500 0.500 0.500
Sc 0.075 0.075 0.075
```

---

Entry 7:
Computed, not measured: crystalline BaSc2W at its relaxed geometry at the PBE-GGA level of DFT. Values from VASP.

Energy above the most stable polymorph in this dataset (eV per atom): 0.221
Symmetry: Pm, No. 6
E (eV/cell): -25.0
Mass density (g/cm3): 6.0

```
&SYSTEM
  ibrav = 0, nat = 4, ntyp = 3
/
ATOMIC_SPECIES
Sc 44.96 Sc.upf
W 183.84 W.upf
Ba 137.33 Ba.upf
CELL_PARAMETERS angstrom
4.979 0.000 0.000
0.000 3.188 0.116
0.000 0.997 7.170
ATOMIC_POSITIONS crystal
Sc 0.000 0.004 0.095
Sc 0.500 0.390 0.269
W 0.000 0.400 0.418
Ba 0.500 0.706 0.718
```

---

Entry 8:
Computed, not measured: crystalline Ba4ScW at its relaxed geometry at the PBE-GGA level of DFT. Values from VASP.

Symmetry: F-43m, No. 216
E (eV/cell): -18.8
Mass density (g/cm3): 5.1

```
&SYSTEM
  ibrav = 0, nat = 6, ntyp = 3
/
ATOMIC_SPECIES
Ba 137.33 Ba.upf
Sc 44.96 Sc.upf
W 183.84 W.upf
CELL_PARAMETERS angstrom
-2.618 4.945 4.338
-4.402 4.942 -2.513
-6.850 -0.124 1.784
ATOMIC_POSITIONS crystal
Ba 0.375 0.876 0.375
Ba 0.375 0.375 0.876
Sc 0.750 0.750 0.750
Ba 0.876 0.375 0.375
Ba 0.375 0.375 0.375
W 0.000 0.000 0.000
```